Entry 1:
Computed, not measured: a relaxed structure of SrCdAu6 at the PBE-GGA level of DFT.

Output
As for the density of states at the Fermi level: 2.4 states/eV per cell. Its energy of formation from the pure elements is -214 meV/atom. As for the total energy: -3.00 eV/atom.

Lattice parameters (Å, degrees): 5.5159 5.5159 5.5159 90.00 90.00 90.00
Space group Pm-3 (No. 200)
Symmetry-distinct sites (fractional):
Sr 0.0000 0.0000 0.0000 x1
Cd 0.5000 0.5000 0.5000 x1
Au 0.0000 0.2537 0.5000 x6

***

Entry 2:
Computed, not measured: a relaxed structure of Cr2CdW at the PBE-GGA level of DFT.

Output
As for the density of states at the Fermi level: 6.9 states/eV per cell. Its energy of formation from the pure elements is 672 meV/atom. As for the total energy: -7.61 eV/atom.

Lattice parameters (Å, degrees): 3.7917 3.7917 8.3976 90.00 90.00 90.00
Space group I-4m2 (No. 119)
Symmetry-distinct sites (fractional):
Cr 0.0000 0.0000 0.0000 x2
Cr 0.0000 0.5000 0.2500 x2
Cd 0.0000 0.0000 0.5000 x2
W 0.0000 0.5000 0.7500 x2

***

Entry 3:
Computed, not measured: a relaxed structure of Pm6SnPd3 at the PBE-GGA level of DFT.

Output
As for the density of states at the Fermi level: 28.7 states/eV per cell. Its energy of formation from the pure elements is -495 meV/atom. As for the total energy: -5.30 eV/atom.

Lattice parameters (Å, degrees): 11.1194 14.5250 7.3189 90.00 90.00 90.00
Space group Cmc2_1 (No. 36)
Symmetry-distinct sites (fractional):
Pm 0.0000 0.0027 0.0000 x4
Pm 0.0000 0.2378 0.3398 x4
Pm 0.1729 0.4623 0.4096 x8
Pm 0.2062 0.2870 0.0018 x8
Sn 0.0000 0.1909 0.7537 x4
Pd 0.0000 0.4128 0.1191 x4
Pd 0.1790 0.0989 0.2251 x8

***

Entry 4:
Computed, not measured: a relaxed structure of Rb4Pu3HfSe8 at the PBE-GGA level of DFT.

Output
As for the density of states at the Fermi level: 101.8 states/eV per cell. Its uncorrected formation energy is -1.4089 eV/atom. As for the total energy: -6.70 eV/atom.

Lattice parameters (Å, degrees): 8.4776 8.4776 23.9117 90.00 90.00 120.00
Space group R-3m (No. 166, hexagonal axes)
Symmetry-distinct sites (fractional):
Rb 0.0000 0.0000 0.0000 x3
Rb 0.0000 0.5000 0.0000 x9
Pu 0.0000 0.5000 0.5000 x9
Hf 0.0000 0.0000 0.5000 x3
Se 0.0000 0.0000 0.2326 x6
Se 0.0218 0.5109 0.2306 x18

***

Entry 5:
Computed, not measured: a relaxed structure of RbSeBr3 at the PBE-GGA level of DFT.

Output
As for the density of states at the Fermi level: 0.0 states/eV per cell. Its uncorrected formation energy is -0.6747 eV/atom. As for the total energy: -2.57 eV/atom.

Lattice parameters (Å, degrees): 8.8443 8.8443 18.7661 90.00 90.00 120.00
Space group R-3c (No. 167, hexagonal axes)
Symmetry-distinct sites (fractional):
Rb 0.0000 0.0000 0.0000 x6
Se 0.0000 0.0000 0.2500 x6
Br 0.0000 0.2866 0.2500 x18

***

Entry 6:
Computed, not measured: a relaxed structure of RbFeCl4 at the PBE-GGA level of DFT.

Output
The value obtained for the relative energy among the computed polymorphs is 3 meV per atom. Its uncorrected formation energy is -1.2435 eV/atom. As for the total energy: -4.05 eV/atom.

Lattice parameters (Å, degrees): 11.3574 7.3026 9.6576 90.00 90.00 90.00
Space group Pnma (No. 62)
Symmetry-distinct sites (fractional):
Rb 0.1860 0.2500 0.1781 x4
Fe 0.0606 0.2500 0.6888 x4
Cl 0.0742 0.0037 0.8223 x8
Cl 0.1107 0.7500 0.4171 x4
Cl 0.2094 0.2500 0.5421 x4

***

Entry 7:
Computed, not measured: a relaxed structure of InPt2W at the PBE-GGA level of DFT.

Output
As for the density of states at the Fermi level: 6.5 states/eV per cell. Its energy of formation from the pure elements is -83 meV/atom. As for the total energy: -7.03 eV/atom.

Lattice parameters (Å, degrees): 9.3670 2.8677 5.0835 90.00 98.55 90.00
Space group Cm (No. 8)
Symmetry-distinct sites (fractional):
In 0.0000 0.0000 0.0000 x2
Pt 0.2502 0.0000 0.7909 x2
Pt 0.4956 0.0000 0.4928 x2
W 0.2539 0.5000 0.3197 x2

***

Entry 8:
Computed, not measured: a relaxed structure of HoZrHg6 at the PBE-GGA level of DFT.

Output
As for the density of states at the Fermi level: 7.0 states/eV per cell. Its energy of formation from the pure elements is -168 meV/atom. As for the total energy: -2.04 eV/atom.

Lattice parameters (Å, degrees): 4.6710 4.6710 8.4890 90.00 90.00 90.00
Space group P4/mmm (No. 123)
Symmetry-distinct sites (fractional):
Ho 0.0000 0.0000 0.0000 x1
Zr 0.0000 0.0000 0.5000 x1
Hg 0.0000 0.5000 0.2583 x4
Hg 0.5000 0.5000 0.0000 x1
Hg 0.5000 0.5000 0.5000 x1